! La2Nd4Dy5 PBE relaxed; values from VASP
! energy relative to the elements: 2.52 eV per formula unit
! raw total energy: -4.49 eV/atom
&SYSTEM
  ibrav = 0, nat = 11, ntyp = 3
/
ATOMIC_SPECIES
La 138.91 La.upf
Dy 162.50 Dy.upf
Nd 144.24 Nd.upf
CELL_PARAMETERS angstrom
3.5398 0.0000 0.0000
0.0000 9.2947 0.0000
-1.7699 -4.6474 11.7098
ATOMIC_POSITIONS crystal
La 0.2677 0.2677 0.5354
Dy 0.1407 0.9505 0.2814
Dy 0.1407 0.3309 0.2814
Nd 0.0000 0.2995 0.0000
Nd 0.5976 0.5976 0.1952
La 0.7323 0.7323 0.4646
Dy 0.5000 0.0000 0.0000
Dy 0.8593 0.6691 0.7186
Dy 0.8593 0.0495 0.7186
Nd 0.4024 0.4024 0.8048
Nd 0.0000 0.7005 0.0000